[1]
KCaBi2 | meta-GGA SCAN | PBEsol geometry Values from VASP.

Quantum ESPRESSO input file:
```
&SYSTEM
  ibrav = 0, nat = 4, ntyp = 3
/
ATOMIC_SPECIES
K 39.10 K.upf
Ca 40.08 Ca.upf
Bi 208.98 Bi.upf
CELL_PARAMETERS angstrom
-4.715 -2.073 2.316
-1.194 -5.500 -0.469
0.319 -3.355 4.532
ATOMIC_POSITIONS angstrom
K 0.000 0.000 0.000
Ca -2.795 -5.464 3.189
Bi -1.398 -2.732 1.595
Bi -4.193 -8.197 4.784
```

As for the energy relative to the elements: -0.497 eV per atom. The space group is Fm-3m, No. 225. The calculation puts the theoretical density at 6.48 g/cm³.


[2]
La3YAs | meta-GGA SCAN | PBEsol geometry Values from VASP.

Quantum ESPRESSO input file:
```
&SYSTEM
  ibrav = 0, nat = 5, ntyp = 3
/
ATOMIC_SPECIES
Y 88.91 Y.upf
As 74.92 As.upf
La 138.91 La.upf
CELL_PARAMETERS angstrom
-0.499 0.514 5.457
-5.126 -1.985 -0.282
1.942 -5.108 0.658
ATOMIC_POSITIONS angstrom
Y 0.000 0.000 0.000
As -1.841 -3.289 2.917
La -2.563 -0.992 -0.141
La 0.971 -2.554 0.329
La -0.250 0.257 2.728
```

As for the energy relative to the elements: 0.529 eV per atom. The space group is Pm-3m, No. 221. The calculation puts the theoretical density at 5.78 g/cm³.


[3]
ScRe2P2 | meta-GGA SCAN | PBEsol geometry Values from VASP.

Quantum ESPRESSO input file:
```
&SYSTEM
  ibrav = 0, nat = 5, ntyp = 3
/
ATOMIC_SPECIES
P 30.97 P.upf
Re 186.21 Re.upf
Sc 44.96 Sc.upf
CELL_PARAMETERS angstrom
4.091 0.000 0.000
0.000 4.091 0.000
-2.046 -2.046 4.540
ATOMIC_POSITIONS angstrom
P 2.046 2.046 1.122
P 0.000 0.000 3.418
Re 0.000 2.046 2.270
Re 2.046 0.000 2.270
Sc 0.000 0.000 0.000
```

As for the energy relative to the elements: -0.635 eV per atom. The space group is I4/mmm, No. 139. The calculation puts the theoretical density at 10.47 g/cm³.


[4]
TaMn2Os | meta-GGA SCAN | PBEsol geometry Values from VASP.

Quantum ESPRESSO input file:
```
&SYSTEM
  ibrav = 0, nat = 4, ntyp = 3
/
ATOMIC_SPECIES
Mn 54.94 Mn.upf
Os 190.23 Os.upf
Ta 180.95 Ta.upf
CELL_PARAMETERS angstrom
-2.072 -1.498 -1.922
2.982 -2.492 -1.272
-0.902 -2.616 3.011
ATOMIC_POSITIONS angstrom
Mn 1.491 -1.246 -0.636
Mn -0.451 -1.308 1.506
Os -1.036 -0.749 -0.961
Ta 0.005 -3.303 -0.091
```

As for the energy relative to the elements: -0.149 eV per atom. The space group is P4/mmm, No. 123. The calculation puts the theoretical density at 14.93 g/cm³.


[5]
MgScPt | meta-GGA SCAN | PBEsol geometry Values from VASP.

Quantum ESPRESSO input file:
```
&SYSTEM
  ibrav = 0, nat = 3, ntyp = 3
/
ATOMIC_SPECIES
Mg 24.30 Mg.upf
Pt 195.08 Pt.upf
Sc 44.96 Sc.upf
CELL_PARAMETERS angstrom
2.950 0.000 0.000
0.000 4.550 0.000
0.000 -2.275 3.941
ATOMIC_POSITIONS angstrom
Mg 2.694 0.000 0.000
Pt 2.164 0.000 2.627
Sc 1.042 2.275 1.314
```

As for the energy relative to the elements: -0.810 eV per atom. The space group is P3m1, No. 156. The calculation puts the theoretical density at 8.30 g/cm³.


[6]
MnPbF3 | meta-GGA SCAN | PBEsol geometry Values from VASP.

Quantum ESPRESSO input file:
```
&SYSTEM
  ibrav = 0, nat = 5, ntyp = 3
/
ATOMIC_SPECIES
Pb 207.20 Pb.upf
Mn 54.94 Mn.upf
F 19.00 F.upf
CELL_PARAMETERS angstrom
-2.741 2.908 1.367
-0.398 -2.090 3.649
3.189 2.240 1.630
ATOMIC_POSITIONS angstrom
Pb 0.025 1.529 3.323
Mn 0.000 0.000 0.000
F -0.199 -1.045 1.825
F 1.594 1.120 0.815
F -1.371 1.454 0.683
```

The space group is Pm-3m, No. 221. The calculation puts the theoretical density at 7.03 g/cm³. The calculation puts the formation energy without anion corrections at -2.149 eV per atom.


[7]
Li2LaP2 | meta-GGA SCAN | PBEsol geometry Values from VASP.

Quantum ESPRESSO input file:
```
&SYSTEM
  ibrav = 0, nat = 10, ntyp = 3
/
ATOMIC_SPECIES
P 30.97 P.upf
Li 6.94 Li.upf
La 138.91 La.upf
CELL_PARAMETERS angstrom
-1.303 2.481 -1.065
-6.010 -1.304 4.317
3.109 4.012 5.540
ATOMIC_POSITIONS angstrom
P 0.372 3.742 4.042
P -2.217 3.627 6.942
P -4.576 1.447 4.750
P -1.987 1.562 1.850
Li 0.425 3.060 6.609
Li -3.447 1.290 7.223
Li -3.326 -0.353 3.249
Li 0.546 1.418 2.635
La 0.000 0.000 0.000
La -1.450 1.354 4.929
```

As for the energy relative to the elements: -0.786 eV per atom. The space group is P4/mbm, No. 127. The calculation puts the theoretical density at 4.21 g/cm³.


[8]
Y2ZrTcAu | meta-GGA SCAN | PBEsol geometry Values from VASP.

Quantum ESPRESSO input file:
```
&SYSTEM
  ibrav = 0, nat = 5, ntyp = 4
/
ATOMIC_SPECIES
Y 88.91 Y.upf
Au 196.97 Au.upf
Tc 98.00 Tc.upf
Zr 91.22 Zr.upf
CELL_PARAMETERS angstrom
-3.318 -2.561 -2.610
3.707 -1.250 -3.485
1.148 -4.301 2.763
ATOMIC_POSITIONS angstrom
Y 0.574 -2.151 1.381
Y 1.853 -0.625 -1.743
Au 0.000 0.000 0.000
Tc -1.659 -1.281 -1.305
Zr 0.768 -4.056 -1.666
```

As for the energy relative to the elements: 0.563 eV per atom. The space group is P4/mmm, No. 123. The calculation puts the theoretical density at 6.91 g/cm³.